The following is a PBE calculation of an optimized crystal structure of HfMgNiPt, from Alexandria.

```
HfMgNiPt
1.0
0.000 3.191 3.191
3.191 0.000 3.191
3.191 3.191 0.000
Hf Mg Ni Pt
1 1 1 1
Direct
0.000 0.000 0.000
0.500 0.500 0.500
0.750 0.750 0.750
0.250 0.250 0.250
```

Values from the calculation:
- Density: 11.7 g/cm3
- Space-group type: No. 216
- Calculated total energy: -6.558 eV per atom